Density functional theory data (PBE) for crystalline MgZn2Fe at its relaxed geometry.

Results
Magnetic moment in μB/f.u.: 2.223
DOS(E_F) in states/eV/cell: 2.233
Calculated total energy in eV/cell: -12.350
Energy of formation from the pure elements in eV per atom: 0.064
SG: Cmmm (65)

Lattice parameters (Å, degrees): 4.7306 4.7306 2.7641 90.00 90.00 108.53
Last column: magnetic moment on the atom in μB.
Fractional coordinates of all 4 atoms:
Fe (0.5000, 0.0000, 0.5000)  2.40
Mg (0.0000, 0.5000, 0.5000)  0.00
Zn (0.0000, 0.0000, 0.0000)  -0.05
Zn (0.5000, 0.5000, 0.0000)  -0.05

***

Density functional theory data (PBE) for crystalline MgZnFe3 at its relaxed geometry.

Results
Magnetic moment in μB/f.u.: 7.689
DOS(E_F) in states/eV/cell: 4.751
Energy relative to the lowest polymorph listed for this composition in kJ/mol of atoms: 51.09
Calculated total energy in eV/cell: -20.825
Energy of formation from the pure elements in eV per atom: 1.486
SG: Pm-3m (221)

Lattice parameters (Å, degrees): 4.4365 4.4365 4.4365 90.00 90.00 90.00
Last column: magnetic moment on the atom in μB.
Fractional coordinates of all 5 atoms:
Mg (0.0000, 0.0000, 0.0000)  -0.07
Zn (0.5000, 0.5000, 0.5000)  -0.07
Fe (0.0000, 0.5000, 0.0000)  2.85
Fe (0.0000, 0.0000, 0.5000)  2.87
Fe (0.5000, 0.0000, 0.0000)  2.38

***

Density functional theory data (PBE) for crystalline Mg2ZnFe at its relaxed geometry.

Results
Magnetic moment in μB/f.u.: 2.197
DOS(E_F) in states/eV/cell: 2.322
Calculated total energy in eV/cell: -12.139
Energy of formation from the pure elements in eV per atom: 0.197
SG: C2/m (12)

Lattice parameters (Å, degrees): 4.8938 4.8938 5.0040 79.06 79.06 33.96
Last column: magnetic moment on the atom in μB.
Fractional coordinates of all 4 atoms:
Fe (0.2500, 0.2500, 0.2500)  2.39
Mg (0.9974, 0.9974, 0.0083)  -0.01
Mg (0.5026, 0.5026, 0.4917)  -0.01
Zn (0.7500, 0.7500, 0.7500)  -0.05

***

Density functional theory data (PBE) for crystalline Mg3ZnFe at its relaxed geometry.

Results
Magnetic moment in μB/f.u.: 1.804
DOS(E_F) in states/eV/cell: 5.674
Energy relative to the lowest polymorph listed for this composition in kJ/mol of atoms: 0.00
Calculated total energy in eV/cell: -11.354
Energy of formation from the pure elements in eV per atom: 0.633
SG: Pm-3m (221)

Lattice parameters (Å, degrees): 4.9042 4.9042 4.9042 90.00 90.00 90.00
Last column: magnetic moment on the atom in μB.
Fractional coordinates of all 5 atoms:
Mg (0.0000, 0.5000, 0.0000)  -0.01
Mg (0.0000, 0.0000, 0.5000)  -0.01
Mg (0.5000, 0.0000, 0.0000)  -0.02
Zn (0.5000, 0.5000, 0.5000)  0.01
Fe (0.0000, 0.0000, 0.0000)  1.96